(a)
Material: LiBi3PbWClO8
Method: DFT, GGA+U
State: relaxed

Computed properties:
Total magnetic moment, Bohr magnetons per cell: 0.96
Symmetry: Pmm2, No. 25

a b c (Å): 4.0857 4.1153 15.2854
angles (deg): 90.00 90.00 90.00
Last column: nearest neighbours and their distance in Å.
Atoms (fractional coordinates):
W 0.0000 0.0000 0.9893  4 O 1.85-2.06
O 0.5000 0.0000 0.2609  2 Bi 2.24
O 0.0000 0.5000 0.9728  2 W 2.07
O 0.0000 0.0000 0.8592  1 W 1.99
O 0.0000 0.0000 0.1102  1 W 1.85
O 0.0000 0.5000 0.2621  2 Bi 2.25
O 0.5000 0.0000 0.7584  2 Bi 2.18
O 0.5000 0.0000 0.9733  2 W 2.06
O 0.0000 0.5000 0.7551  2 Bi 2.18
Bi 0.5000 0.5000 0.8576  8 O 2.56-2.71
Bi 0.0000 0.0000 0.3212  4 O 2.24-2.25
Bi 0.0000 0.0000 0.7087  5 O 2.18-2.30
Cl 0.5000 0.5000 0.4942  2 Li 2.23
Li 0.0000 0.5000 0.5522  2 Cl 2.23
Pb 0.5000 0.5000 0.1656  4 O 2.52


(b)
Material: LiBi3PbWClO8
Method: DFT, GGA+U
State: relaxed

Computed properties:
Total magnetic moment, Bohr magnetons per cell: 0.87
Symmetry: P4mm, No. 99

a b c (Å): 3.9855 3.9855 14.9267
angles (deg): 90.00 90.00 90.00
Last column: nearest neighbours and their distance in Å.
Atoms (fractional coordinates):
O 0.0000 0.5000 0.6974  2 Bi 2.25, 2 Pb 2.45
O 0.0000 0.0000 0.1446  1 W 2.02
O 0.5000 0.0000 0.0148  2 W 1.99, 2 Li 2.03
O 0.0000 0.5000 0.2883  4 Bi 2.28-2.40
O 0.5000 0.0000 0.6974  2 Bi 2.25, 2 Pb 2.45
O 0.5000 0.0000 0.2883  4 Bi 2.28-2.40
O 0.0000 0.5000 0.0148  2 W 1.99, 2 Li 2.03
O 0.0000 0.0000 0.8832  1 W 1.88
Cl 0.5000 0.5000 0.4816  8 Bi 3.33-3.56, 4 O 3.51
Li 0.5000 0.5000 0.9889  4 O 2.03
Bi 0.5000 0.5000 0.1990  4 O 2.40
Bi 0.0000 0.0000 0.3627  4 O 2.28
Bi 0.0000 0.0000 0.6271  4 O 2.25
Pb 0.5000 0.5000 0.7930  4 O 2.45
W 0.0000 0.0000 0.0090  6 O 1.88-2.02


(c)
Material: LiBi3PbWClO8
Method: DFT, GGA+U
State: relaxed

Computed properties:
Total magnetic moment, Bohr magnetons per cell: 0.00
Symmetry: P4mm, No. 99

a b c (Å): 3.9305 3.9305 15.3787
angles (deg): 90.00 90.00 90.00
Last column: nearest neighbours and their distance in Å.
Atoms (fractional coordinates):
O 0.5000 0.0000 0.0024  2 W 1.97
O 0.0000 0.5000 0.7104  2 Bi 2.21
O 0.0000 0.0000 0.1273  1 Li 1.71
O 0.0000 0.0000 0.8759  1 W 1.86
O 0.0000 0.5000 0.2841  2 Li 2.09
O 0.5000 0.0000 0.7104  2 Bi 2.21
O 0.0000 0.5000 0.0024  2 W 1.97
O 0.5000 0.0000 0.2841  2 Li 2.09
Bi 0.5000 0.5000 0.1980  4 O 2.37
Bi 0.0000 0.0000 0.6447  4 O 2.21
Bi 0.0000 0.0000 0.3976  1 Li 2.44, 4 O 2.63
Li 0.0000 0.0000 0.2388  1 O 1.71
Pb 0.5000 0.5000 0.8108  4 O 2.50
W 0.0000 0.0000 0.9967  6 O 1.86-2.01
Cl 0.5000 0.5000 0.4787  4 Bi 3.05


It is (b) that is the most stable of them.